Entry 1:
The following is a PBE-GGA calculation of a relaxed LaPrS3 crystal, from Alexandria.

The calculation puts the uncorrected energy at -6.552 eV/atom. The value obtained for the uncorrected formation energy is -2.134 eV/atom. As for the crystal system: orthorhombic.

It has space group Pnma (No. 62), with a = 7.5891 Å, b = 4.1380 Å, c = 15.8152 Å, α = 90.00°, β = 90.00° and γ = 90.00°. The inequivalent atoms are La at (0.1452, 0.2500, 0.2041), Pr at (0.2353, 0.7500, 0.4558), S at (0.0113, 0.2500, 0.3916), S at (0.1268, 0.7500, 0.0667) and S at (0.1466, 0.2500, 0.7808).

***

Entry 2:
The following is a PBE-GGA calculation of a relaxed ZrZnCoPt crystal, from Alexandria.

The calculation puts the uncorrected energy at -6.279 eV/atom. The value obtained for the formation energy is -2.15 eV per formula unit. The calculation puts the density of states at the Fermi level at 0.379 states/eV per atom. As for the crystal system: cubic.

It has space group F-43m (No. 216), with a = 6.2956 Å, b = 6.2956 Å, c = 6.2956 Å, α = 90.00°, β = 90.00° and γ = 90.00°. The inequivalent atoms are Zr at (0.0000, 0.0000, 0.0000), Zn at (0.0000, 0.0000, 0.5000), Co at (0.2500, 0.2500, 0.7500) and Pt at (0.2500, 0.2500, 0.2500).

***

Entry 3:
The following is a PBE-GGA calculation of a relaxed Ac3Pm4Sm4 crystal, from Alexandria.

The calculation puts the uncorrected energy at -4.543 eV/atom. The value obtained for the formation energy is 0.23 eV per formula unit. The calculation puts the density of states at the Fermi level at 1.567 states/eV per atom. As for the crystal system: triclinic.

It has space group P-1 (No. 2), with a = 3.6986 Å, b = 5.8754 Å, c = 18.9890 Å, α = 81.11°, β = 84.42° and γ = 90.00°. The inequivalent atoms are Ac at (0.0000, 0.0000, 0.0000), Ac at (0.1364, 0.6389, 0.7246), Pm at (0.3182, 0.8172, 0.3645), Pm at (0.4577, 0.4528, 0.0919), Sm at (0.2646, 0.2647, 0.4702) and Sm at (0.4077, 0.9068, 0.1836).

***

Entry 4:
The following is a PBE-GGA calculation of a relaxed Tb12ErTm2 crystal, from Alexandria.

The calculation puts the uncorrected energy at -4.485 eV/atom. The value obtained for the formation energy is 1.79 eV per formula unit. The calculation puts the density of states at the Fermi level at 1.623 states/eV per atom. As for the crystal system: monoclinic.

It has space group P2/m (No. 10), with a = 3.5490 Å, b = 5.5688 Å, c = 24.2283 Å, α = 90.00°, β = 94.13° and γ = 90.00°. The inequivalent atoms are Tb at (0.0404, 0.0000, 0.0732), Tb at (0.2260, 0.0000, 0.4443), Tb at (0.2837, 0.5000, 0.5761), Tb at (0.3308, 0.0000, 0.6713), Tb at (0.3959, 0.0000, 0.7988), Tb at (0.4257, 0.5000, 0.8626), Er at (0.5000, 0.5000, 0.0000) and Tm at (0.1398, 0.5000, 0.2711).

***

Entry 5:
The following is a PBE-GGA calculation of a relaxed Ca2SiN2 crystal, from Alexandria.

The calculation puts the uncorrected energy at -5.852 eV/atom. The calculation puts the density of states at the Fermi level at 0.329 states/eV per atom. The value obtained for the uncorrected formation energy is -0.637 eV/atom. As for the crystal system: tetragonal.

It has space group I4/mmm (No. 139), with a = 4.7813 Å, b = 4.7813 Å, c = 9.0216 Å, α = 90.00°, β = 90.00° and γ = 90.00°. The inequivalent atoms are Ca at (0.0000, 0.5000, 0.2500), Si at (0.0000, 0.0000, 0.0000) and N at (0.0000, 0.0000, 0.1857).

***

Entry 6:
The following is a PBE-GGA calculation of a relaxed CrTeIrN2 crystal, from Alexandria.

The calculation puts the uncorrected energy at -6.724 eV/atom. The calculation puts the density of states at the Fermi level at 0.892 states/eV per atom. The value obtained for the uncorrected formation energy is 0.931 eV/atom. As for the crystal system: tetragonal.

It has space group P4/mmm (No. 123), with a = 3.7029 Å, b = 3.7029 Å, c = 5.8906 Å, α = 90.00°, β = 90.00° and γ = 90.00°. The inequivalent atoms are Cr at (0.0000, 0.0000, 0.0000), Te at (0.0000, 0.0000, 0.5000), Ir at (0.5000, 0.5000, 0.5000) and N at (0.0000, 0.5000, 0.0000).

***

Entry 7:
The following is a PBE-GGA calculation of a relaxed ZrV2Tc crystal, from Alexandria.

The calculation puts the uncorrected energy at -9.277 eV/atom. The value obtained for the formation energy is 0.04 eV per formula unit. The calculation puts the density of states at the Fermi level at 1.751 states/eV per atom. As for the crystal system: tetragonal.

It has space group P4/mmm (No. 123), with a = 4.4465 Å, b = 4.4465 Å, c = 3.1608 Å, α = 90.00°, β = 90.00° and γ = 90.00°. The inequivalent atoms are Zr at (0.0000, 0.0000, 0.0000), V at (0.0000, 0.5000, 0.5000) and Tc at (0.5000, 0.5000, 0.0000).

***

Entry 8:
The following is a PBE-GGA calculation of a relaxed Nd2BiTe crystal, from Alexandria.

The calculation puts the uncorrected energy at -5.353 eV/atom. The calculation puts the density of states at the Fermi level at 0.380 states/eV per atom. The value obtained for the uncorrected formation energy is -1.213 eV/atom. As for the crystal system: orthorhombic.

It has space group Pmna (No. 53), with a = 6.4459 Å, b = 6.4464 Å, c = 12.8821 Å, α = 90.00°, β = 90.00° and γ = 90.00°. The inequivalent atoms are Nd at (0.0000, 0.2496, 0.1240), Nd at (0.0000, 0.2505, 0.6260), Bi at (0.0000, 0.2504, 0.8750) and Te at (0.0000, 0.2495, 0.3750).

***

Entry 9:
The following is a PBE-GGA calculation of a relaxed TmAlPt crystal, from Alexandria.

The calculation puts the uncorrected energy at -5.941 eV/atom. The value obtained for the formation energy is -3.57 eV per formula unit. The calculation puts the density of states at the Fermi level at 0.411 states/eV per atom. As for the crystal system: orthorhombic.

It has space group Pnma (No. 62), with a = 6.7970 Å, b = 4.3939 Å, c = 7.7348 Å, α = 90.00°, β = 90.00° and γ = 90.00°. The inequivalent atoms are Tm at (0.0279, 0.2500, 0.1821), Al at (0.1470, 0.2500, 0.5632) and Pt at (0.2303, 0.7500, 0.3833).

***

Entry 10:
The following is a PBE-GGA calculation of a relaxed Mn2AgSn crystal, from Alexandria.

The calculation puts the uncorrected energy at -5.782 eV/atom. The value obtained for the formation energy is 2.07 eV per formula unit. The calculation puts the density of states at the Fermi level at 0.848 states/eV per atom. As for the crystal system: tetragonal.

It has space group I-42d (No. 122), with a = 7.3637 Å, b = 7.3637 Å, c = 5.5711 Å, α = 90.00°, β = 90.00° and γ = 90.00°. The inequivalent atoms are Mn at (0.2444, 0.2500, 0.1250), Ag at (0.0000, 0.0000, 0.0000) and Sn at (0.0000, 0.0000, 0.5000).